(1)
First-principles (GGA-PBE) data for crystalline Pm2Sm2Dy2Tm at its relaxed geometry, as listed in Alexandria via LeMat-Bulk.

Cell and atoms, written as extended XYZ:
```
7
Lattice="2.8488 1.6448 8.2286 -2.8488 1.6448 8.2286 0.0000 -3.2895 8.2286" Properties=species:S:1:pos:R:3 pbc="T T T"
Pm 0.0000 0.0000 3.4395
Pm 0.0000 0.0000 21.2464
Sm 0.0000 0.0000 7.0833
Sm 0.0000 0.0000 17.6026
Dy 0.0000 0.0000 10.5945
Dy 0.0000 0.0000 14.0914
Tm 0.0000 0.0000 0.0000
```

Values from the calculation:
Theoretical density = 7.8 g/cm³
Density of states at the Fermi level = 15.93 states/eV per cell
Formation enthalpy at 0 K = 133 meV/atom


(2)
First-principles (GGA-PBE) data for crystalline CaLa2BeF at its relaxed geometry, as listed in Alexandria via LeMat-Bulk.

Cell and atoms, written as extended XYZ:
```
5
Lattice="5.1494 0.0000 0.0000 0.0000 5.1494 0.0000 0.0000 0.0000 4.7167" Properties=species:S:1:pos:R:3 pbc="T T T"
Ca 0.0000 0.0000 0.0000
La 0.0000 2.5747 2.3584
La 2.5747 0.0000 2.3584
Be 2.5747 2.5747 0.0000
F 2.5747 2.5747 2.3584
```

Values from the calculation:
Theoretical density = 4.6 g/cm³
Raw formation energy = -0.6316 eV/atom
Density of states at the Fermi level = 5.15 states/eV per cell


(3)
First-principles (GGA-PBE) data for crystalline CaMgTcRh2 at its relaxed geometry, as listed in Alexandria via LeMat-Bulk.

Cell and atoms, written as extended XYZ:
```
5
Lattice="4.7319 0.0000 0.0000 0.0000 4.7319 0.0000 0.0000 0.0000 5.1574" Properties=species:S:1:pos:R:3 pbc="T T T"
Ca 0.0000 0.0000 0.0000
Mg 2.3659 2.3659 0.0000
Tc 0.0000 0.0000 2.5787
Rh 0.0000 2.3659 2.5787
Rh 2.3659 0.0000 2.5787
```

Values from the calculation:
Theoretical density = 5.3 g/cm³
Density of states at the Fermi level = 4.17 states/eV per cell
Formation enthalpy at 0 K = 685 meV/atom


(4)
First-principles (GGA-PBE) data for crystalline Zr3Mn5N12 at its relaxed geometry, as listed in Alexandria via LeMat-Bulk.

Cell and atoms, written as extended XYZ:
```
80
Lattice="-5.9629 5.9629 5.9629 5.9629 -5.9629 5.9629 5.9629 5.9629 -5.9629" Properties=species:S:1:pos:R:3 pbc="T T T"
Zr 2.9814 1.4907 0.0000
Zr 5.9629 2.9814 -1.4907
Zr 1.4907 0.0000 2.9814
Zr 7.4536 0.0000 2.9814
Zr 0.0000 2.9814 1.4907
Zr 2.9814 -1.4907 5.9629
Zr 2.9814 7.4536 0.0000
Zr 5.9629 2.9814 4.4721
Zr -1.4907 5.9629 2.9814
Zr 4.4721 5.9629 2.9814
Zr 0.0000 2.9814 7.4536
Zr 2.9814 4.4721 5.9629
Mn 0.0000 0.0000 0.0000
Mn 2.9814 2.9814 -2.9814
Mn 2.9814 -2.9814 2.9814
Mn 5.9629 0.0000 0.0000
Mn 8.9443 1.4907 0.0000
Mn 5.9629 -2.9814 4.4721
Mn 4.4721 5.9629 -2.9814
Mn 4.4721 0.0000 2.9814
Mn 2.9814 4.4721 0.0000
Mn 5.9629 2.9814 1.4907
Mn -2.9814 2.9814 2.9814
Mn 0.0000 5.9629 0.0000
Mn 0.0000 0.0000 5.9629
Mn 2.9814 2.9814 2.9814
Mn 0.0000 2.9814 4.4721
Mn 2.9814 1.4907 5.9629
Mn 1.4907 5.9629 2.9814
Mn 1.4907 0.0000 8.9443
Mn 0.0000 8.9443 1.4907
Mn -2.9814 4.4721 5.9629
N 1.8145 -0.3867 0.6674
N 7.1298 3.6488 -3.3681
N 7.7773 0.3867 0.6674
N 7.1298 -2.3140 3.3681
N 5.5762 -0.6674 1.8145
N 9.3310 -1.1670 2.3140
N 0.6674 1.8145 -0.3867
N 8.2769 2.5947 -1.1670
N 3.6488 3.3681 -1.1670
N 5.2955 1.8145 0.3867
N -0.3867 0.6674 1.8145
N 3.3681 -1.1670 3.6488
N 5.5762 5.2955 -1.8145
N 3.3681 1.1670 2.3140
N 3.6488 -3.3681 7.1298
N 5.2955 -1.8145 5.5762
N 2.3140 3.3681 1.1670
N 6.6303 4.1484 0.3867
N 3.3681 7.1298 -2.3140
N 5.5762 0.6674 4.1484
N 1.8145 5.5762 -0.6674
N 7.1298 2.3140 2.5947
N 1.1670 2.3140 3.3681
N 1.8145 0.3867 5.2955
N 4.1484 5.5762 0.6674
N 4.7959 3.6488 2.5947
N -1.1670 3.6488 3.3681
N 4.1484 0.3867 6.6303
N 0.3867 5.2955 1.8145
N 2.5947 -1.1670 8.2769
N -0.6674 1.8145 5.5762
N 3.6488 2.5947 4.7959
N 0.6674 7.7773 0.3867
N 2.3140 9.3310 -1.1670
N 2.5947 4.7959 3.6488
N 0.3867 0.6674 7.7773
N 2.5947 7.1298 2.3140
N 6.3496 5.2955 4.1484
N 0.6674 4.1484 5.5762
N 2.3140 2.5947 7.1298
N -2.3140 3.3681 7.1298
N 5.2955 4.1484 6.3496
N -3.3681 7.1298 3.6488
N 0.3867 6.6303 4.1484
N -1.1670 8.2769 2.5947
N -1.8145 5.5762 5.2955
N -1.1670 2.3140 9.3310
N 4.1484 6.3496 5.2955
```

Values from the calculation:
Theoretical density = 5.6 g/cm³
Raw formation energy = -0.4923 eV/atom
Density of states at the Fermi level = 32.47 states/eV per cell


(5)
First-principles (GGA-PBE) data for crystalline Te2PBr at its relaxed geometry, as listed in Alexandria via LeMat-Bulk.

Cell and atoms, written as extended XYZ:
```
4
Lattice="0.0000 3.6577 3.6577 3.6577 0.0000 3.6577 3.6577 3.6577 0.0000" Properties=species:S:1:pos:R:3 pbc="T T T"
Te 0.0000 0.0000 0.0000
Te 1.8289 1.8289 1.8289
P 3.6577 3.6577 3.6577
Br 5.4866 5.4866 5.4866
```

Values from the calculation:
Offset from the most stable computed form = 526.7 meV/atom
Theoretical density = 6.2 g/cm³
Raw formation energy = 0.6116 eV/atom
Density of states at the Fermi level = 3.81 states/eV per cell


(6)
First-principles (GGA-PBE) data for crystalline GaCu3Ir at its relaxed geometry, as listed in Alexandria via LeMat-Bulk.

Cell and atoms, written as extended XYZ:
```
5
Lattice="4.3190 0.0000 0.0000 0.0000 4.3190 0.0000 0.0000 0.0000 4.3190" Properties=species:S:1:pos:R:3 pbc="T T T"
Ga 0.0000 0.0000 0.0000
Cu 0.0000 0.0000 2.1595
Cu 0.0000 2.1595 0.0000
Cu 2.1595 0.0000 0.0000
Ir 2.1595 2.1595 2.1595
```

Values from the calculation:
Offset from the most stable computed form = 44.1 meV/atom
Theoretical density = 9.3 g/cm³
Density of states at the Fermi level = 3.60 states/eV per cell
Formation enthalpy at 0 K = 1021 meV/atom


(7)
First-principles (GGA-PBE) data for crystalline SnC2SeBr at its relaxed geometry, as listed in Alexandria via LeMat-Bulk.

Cell and atoms, written as extended XYZ:
```
5
Lattice="4.2213 0.0000 0.0000 0.0000 4.2213 0.0000 0.0000 0.0000 6.6029" Properties=species:S:1:pos:R:3 pbc="T T T"
Sn 0.0000 0.0000 0.0000
C 0.0000 2.1106 3.3014
C 2.1106 0.0000 3.3014
Se 2.1106 2.1106 0.0000
Br 0.0000 0.0000 3.3014
```

Values from the calculation:
Theoretical density = 4.3 g/cm³
Raw formation energy = 2.4438 eV/atom
Density of states at the Fermi level = 2.27 states/eV per cell


(8)
First-principles (GGA-PBE) data for crystalline Ba2NaGa2 at its relaxed geometry, as listed in Alexandria via LeMat-Bulk.

Cell and atoms, written as extended XYZ:
```
5
Lattice="-3.2656 3.2656 4.5205 3.2656 -3.2656 4.5205 3.2656 3.2656 -4.5205" Properties=species:S:1:pos:R:3 pbc="T T T"
Ba 3.2656 0.0000 2.2602
Ba 0.0000 3.2656 2.2602
Na 0.0000 0.0000 0.0000
Ga 0.0000 0.0000 3.3101
Ga 0.0000 0.0000 5.7309
```

Values from the calculation:
Offset from the most stable computed form = 144.5 meV/atom
Theoretical density = 3.8 g/cm³
Density of states at the Fermi level = 5.52 states/eV per cell
Formation enthalpy at 0 K = -156 meV/atom


(9)
First-principles (GGA-PBE) data for crystalline PmDy4Er7 at its relaxed geometry, as listed in Alexandria via LeMat-Bulk.

Cell and atoms, written as extended XYZ:
```
12
Lattice="6.4835 0.0000 0.0000 1.0319 6.6978 0.0000 2.0555 0.4746 8.7015" Properties=species:S:1:pos:R:3 pbc="T T T"
Pm 0.0000 0.0000 0.0000
Dy 2.3523 4.2540 2.7267
Dy 3.9966 1.6558 6.1896
Dy 5.5743 5.5166 2.5120
Dy 7.2186 2.9184 5.9749
Er 0.5159 3.3489 0.0000
Er 2.1347 0.8854 3.3651
Er 4.1074 5.0244 5.5981
Er 3.4942 1.7058 0.4309
Er 6.0767 5.4666 8.2707
Er 5.4634 2.1480 3.1034
Er 7.4361 6.2870 5.3365
```

Values from the calculation:
Offset from the most stable computed form = 0.0 meV/atom
Theoretical density = 8.6 g/cm³
Density of states at the Fermi level = 20.31 states/eV per cell
Formation enthalpy at 0 K = 87 meV/atom


(10)
First-principles (GGA-PBE) data for crystalline RbSmCu2Cl8 at its relaxed geometry, as listed in Alexandria via LeMat-Bulk.

Cell and atoms, written as extended XYZ:
```
12
Lattice="-3.2755 3.2755 7.4245 3.2755 -3.2755 7.4245 3.2755 3.2755 -7.4245" Properties=species:S:1:pos:R:3 pbc="T T T"
Rb 0.0000 0.0000 0.0000
Sm 0.0000 3.2755 3.7123
Cu 3.2755 0.0000 3.7123
Cu 0.0000 0.0000 7.4245
Cl 5.0895 -1.0670 2.8517
Cl 2.2085 -1.8140 4.5728
Cl 2.5295 1.5340 -1.2863
Cl 1.4615 1.0670 2.8517
Cl 1.7415 -0.7460 8.7108
Cl 4.3425 1.8140 4.5728
Cl 0.7460 1.7415 6.1382
Cl 1.5340 4.0215 1.2863
```

Values from the calculation:
Theoretical density = 3.4 g/cm³
Raw formation energy = -1.2534 eV/atom
Density of states at the Fermi level = 10.55 states/eV per cell


(11)
First-principles (GGA-PBE) data for crystalline TlMo2Os at its relaxed geometry, as listed in Alexandria via LeMat-Bulk.

Cell and atoms, written as extended XYZ:
```
4
Lattice="4.8242 -1.5266 0.0000 4.8242 1.5266 0.0000 -1.0660 0.0000 4.6494" Properties=species:S:1:pos:R:3 pbc="T T T"
Tl 0.0000 0.0000 0.0000
Mo 1.5510 0.0000 3.3051
Mo 7.0315 0.0000 1.3443
Os 4.2912 0.0000 2.3247
```

Values from the calculation:
Offset from the most stable computed form = 219.8 meV/atom
Theoretical density = 14.2 g/cm³
Density of states at the Fermi level = 2.43 states/eV per cell
Formation enthalpy at 0 K = 601 meV/atom


(12)
First-principles (GGA-PBE) data for crystalline KSrBe2 at its relaxed geometry, as listed in Alexandria via LeMat-Bulk.

Cell and atoms, written as extended XYZ:
```
4
Lattice="5.5195 -2.0742 0.0000 5.5195 2.0742 0.0000 -5.1867 0.0000 6.3463" Properties=species:S:1:pos:R:3 pbc="T T T"
K 0.0000 0.0000 0.0000
Sr 2.9261 0.0000 3.1732
Be -0.0464 0.0000 3.2681
Be 5.8987 0.0000 3.0783
```

Values from the calculation:
Offset from the most stable computed form = 54.7 meV/atom
Theoretical density = 1.7 g/cm³
Density of states at the Fermi level = 3.21 states/eV per cell
Formation enthalpy at 0 K = 551 meV/atom


(13)
First-principles (GGA-PBE) data for crystalline LiLuIrRu at its relaxed geometry, as listed in Alexandria via LeMat-Bulk.

Cell and atoms, written as extended XYZ:
```
4
Lattice="0.0000 3.1778 3.1778 3.1778 0.0000 3.1778 3.1778 3.1778 0.0000" Properties=species:S:1:pos:R:3 pbc="T T T"
Li 0.0000 0.0000 0.0000
Lu 1.5889 1.5889 1.5889
Ir 4.7667 4.7667 4.7667
Ru 3.1778 3.1778 3.1778
```

Values from the calculation:
Theoretical density = 12.3 g/cm³
Density of states at the Fermi level = 4.94 states/eV per cell
Formation enthalpy at 0 K = -165 meV/atom


(14)
First-principles (GGA-PBE) data for crystalline CdPbW at its relaxed geometry, as listed in Alexandria via LeMat-Bulk.

Cell and atoms, written as extended XYZ:
```
3
Lattice="0.0000 2.3478 8.7228 1.7732 0.0000 8.7228 1.7732 2.3478 0.0000" Properties=species:S:1:pos:R:3 pbc="T T T"
Cd 0.0000 0.0000 0.0000
Pb 1.7732 2.3478 12.7145
W 1.7732 2.3478 6.4179
```

Values from the calculation:
Offset from the most stable computed form = 0.0 meV/atom
Theoretical density = 11.5 g/cm³
Density of states at the Fermi level = 1.61 states/eV per cell
Formation enthalpy at 0 K = 761 meV/atom


(15)
First-principles (GGA-PBE) data for crystalline Li2ErTeS4 at its relaxed geometry, as listed in Alexandria via LeMat-Bulk.

Cell and atoms, written as extended XYZ:
```
16
Lattice="5.4353 -5.3105 0.0000 5.4353 5.3105 0.0000 -5.0243 0.0000 5.9088" Properties=species:S:1:pos:R:3 pbc="T T T"
Li 0.0000 0.0000 0.0000
Li -2.5121 0.0000 2.9544
Li 2.7177 2.6552 0.0000
Li 0.2055 -2.6552 2.9544
Er 5.4353 0.0000 0.0000
Er 2.9232 0.0000 2.9544
Te 0.2055 2.6552 2.9544
Te 2.7177 -2.6552 0.0000
S 2.8072 2.7032 2.7232
S 2.7268 0.0062 0.2068
S 0.2147 -0.0062 3.1612
S 5.5513 2.7032 0.2312
S 0.2951 -2.7032 5.6776
S 5.6317 0.0062 2.7476
S 3.1195 -0.0062 5.7020
S 3.0391 -2.7032 3.1856
```

Values from the calculation:
Theoretical density = 4.3 g/cm³
Raw formation energy = -1.0738 eV/atom
Density of states at the Fermi level = 2.75 states/eV per cell


(16)
First-principles (GGA-PBE) data for crystalline LaMg2HgC at its relaxed geometry, as listed in Alexandria via LeMat-Bulk.

Cell and atoms, written as extended XYZ:
```
5
Lattice="4.5661 0.0000 0.0000 0.0000 4.5661 0.0000 0.0000 0.0000 5.2193" Properties=species:S:1:pos:R:3 pbc="T T T"
La 0.0000 0.0000 0.0000
Mg 0.0000 2.2831 2.6096
Mg 2.2831 0.0000 2.6096
Hg 2.2831 2.2831 0.0000
C 0.0000 0.0000 2.6096
```

Values from the calculation:
Theoretical density = 6.1 g/cm³
Density of states at the Fermi level = 4.94 states/eV per cell
Formation enthalpy at 0 K = -9 meV/atom


(17)
First-principles (GGA-PBE) data for crystalline Tb2ScHgN at its relaxed geometry, as listed in Alexandria via LeMat-Bulk.

Cell and atoms, written as extended XYZ:
```
5
Lattice="4.8605 0.0000 0.0000 0.0000 4.8605 0.0000 0.0000 0.0000 4.4389" Properties=species:S:1:pos:R:3 pbc="T T T"
Tb 0.0000 2.4303 0.0000
Tb 2.4303 0.0000 0.0000
Sc 0.0000 0.0000 2.2194
Hg 2.4303 2.4303 2.2194
N 0.0000 0.0000 0.0000
```

Values from the calculation:
Theoretical density = 9.1 g/cm³
Raw formation energy = -0.9508 eV/atom
Density of states at the Fermi level = 4.14 states/eV per cell


(18)
First-principles (GGA-PBE) data for crystalline Tm3Ni7B2 at its relaxed geometry, as listed in Alexandria via LeMat-Bulk.

Cell and atoms, written as extended XYZ:
```
24
Lattice="5.0338 0.0000 0.0000 -2.5169 4.3594 0.0000 0.0000 0.0000 14.2745" Properties=species:S:1:pos:R:3 pbc="T T T"
Tm 0.0000 2.9063 0.4654
Tm 0.0000 2.9063 3.5686
Tm 0.0000 2.9063 6.6718
Tm 2.5169 1.4531 7.6027
Tm 2.5169 1.4531 10.7058
Tm 2.5169 1.4531 13.8090
Ni 0.0000 0.0000 0.0000
Ni 0.0000 0.0000 7.1372
Ni 0.0000 1.4453 9.2554
Ni 0.0000 1.4453 12.1563
Ni -1.2652 3.6368 9.2554
Ni -1.2652 3.6368 12.1563
Ni 1.2516 0.7226 2.1182
Ni 1.2516 0.7226 5.0190
Ni 1.2653 3.6368 9.2554
Ni 1.2653 3.6368 12.1563
Ni 3.7821 0.7226 2.1182
Ni 3.7821 0.7226 5.0190
Ni 2.5169 2.9141 2.1182
Ni 2.5169 2.9141 5.0190
B 0.0000 0.0000 3.5686
B 0.0000 0.0000 10.7058
B 0.0000 2.9063 10.7058
B 2.5169 1.4531 3.5686
```

Values from the calculation:
Theoretical density = 10.0 g/cm³
Density of states at the Fermi level = 9.31 states/eV per cell
Formation enthalpy at 0 K = -547 meV/atom


(19)
First-principles (GGA-PBE) data for crystalline LiIn4Ag7 at its relaxed geometry, as listed in Alexandria via LeMat-Bulk.

Cell and atoms, written as extended XYZ:
```
12
Lattice="5.3403 -2.5014 0.0000 5.3403 2.5014 0.0000 -5.1648 0.0000 9.3331" Properties=species:S:1:pos:R:3 pbc="T T T"
Li 0.0000 0.0000 0.0000
In -0.6415 0.0000 6.4834
In 3.1574 0.0000 2.0859
In 2.3585 0.0000 7.2472
In 6.1574 0.0000 2.8497
Ag -1.5039 0.0000 3.5036
Ag -2.5479 0.0000 8.6031
Ag 1.3156 0.0000 4.3540
Ag 5.3403 0.0000 0.0000
Ag 4.2003 0.0000 4.9790
Ag 8.0638 0.0000 0.7300
Ag 7.0198 0.0000 5.8295
```

Values from the calculation:
Theoretical density = 8.1 g/cm³
Density of states at the Fermi level = 3.73 states/eV per cell
Formation enthalpy at 0 K = 15 meV/atom


(20)
First-principles (GGA-PBE) data for crystalline Tl2FeTc at its relaxed geometry, as listed in Alexandria via LeMat-Bulk.

Cell and atoms, written as extended XYZ:
```
4
Lattice="4.6533 -1.6558 0.0000 4.6533 1.6558 0.0000 -1.2787 0.0000 4.9005" Properties=species:S:1:pos:R:3 pbc="T T T"
Tl 1.9891 0.0000 1.2185
Tl 6.0387 0.0000 3.6820
Fe 4.6533 0.0000 0.0000
Tc -0.6394 0.0000 2.4502
```

Values from the calculation:
Offset from the most stable computed form = 352.3 meV/atom
Theoretical density = 12.4 g/cm³
Density of states at the Fermi level = 4.03 states/eV per cell
Formation enthalpy at 0 K = 812 meV/atom